No. 1
Compound: LiNi6Ir
Source: Alexandria via LeMat-Bulk
Functional: meta-GGA SCAN
Structure: PBEsol geometry

Calculated values
Its total DFT energy (no corrections) is -21.316 eV/atom.

Lattice parameters (Å, degrees): 6.100 6.100 9.963 90.00 90.00 109.74
Site moments in Bohr magnetons follow the coordinates.
Sites, in units of the cell vectors:
Ir 0.254 0.746 0.500  0.87
Ir 0.000 0.000 0.244  0.77
Ir 0.000 0.000 0.756  0.77
Ir 0.746 0.254 0.500  0.87
Ni 0.125 0.375 0.372  0.83
Ni 0.128 0.379 0.123  0.74
Ni 0.872 0.621 0.123  0.74
Ni 0.000 0.000 0.500  0.88
Ni 0.872 0.621 0.877  0.74
Ni 0.750 0.250 0.248  0.82
Ni 0.375 0.125 0.628  0.83
Ni 0.125 0.375 0.628  0.83
Ni 0.375 0.125 0.372  0.83
Ni 0.000 0.000 0.000  0.64
Ni 0.875 0.625 0.372  0.83
Ni 0.625 0.875 0.372  0.83
Ni 0.750 0.250 0.752  0.82
Ni 0.625 0.875 0.628  0.83
Ni 0.621 0.872 0.877  0.74
Ni 0.500 0.500 0.000  0.65
Ni 0.128 0.379 0.877  0.74
Ni 0.250 0.750 0.752  0.82
Ni 0.250 0.750 0.248  0.82
Ni 0.875 0.625 0.628  0.83
Ni 0.500 0.500 0.500  0.91
Ni 0.379 0.128 0.123  0.74
Ni 0.379 0.128 0.877  0.74
Ni 0.621 0.872 0.123  0.74
Li 0.755 0.245 0.000  -0.02
Li 0.245 0.755 0.000  -0.02
Li 0.500 0.500 0.247  -0.02
Li 0.500 0.500 0.753  -0.02

No. 2
Compound: Bi2HI2
Source: Alexandria via LeMat-Bulk
Functional: meta-GGA SCAN
Structure: PBEsol geometry

Calculated values
Its total DFT energy (no corrections) is -46.546 eV/atom.

Lattice parameters (Å, degrees): 5.872 7.156 7.156 90.00 90.00 90.00
Sites, in units of the cell vectors:
Bi 0.000 0.750 0.750
Bi 0.000 0.250 0.250
Bi 0.000 0.750 0.250
Bi 0.000 0.250 0.750
I 0.500 0.684 0.816
I 0.500 0.184 0.684
I 0.500 0.816 0.316
I 0.500 0.316 0.184
H 0.000 0.500 0.500
H 0.000 0.000 0.000

No. 3
Compound: Cu5As
Source: Alexandria via LeMat-Bulk
Functional: meta-GGA SCAN
Structure: PBEsol geometry

Calculated values
Its total DFT energy (no corrections) is -16.025 eV/atom.

Lattice parameters (Å, degrees): 3.646 3.609 5.795 90.00 108.34 90.00
Sites, in units of the cell vectors:
Cu 0.329 0.500 0.657
Cu 0.000 0.500 0.000
Cu 0.168 0.000 0.337
Cu 0.832 0.000 0.663
Cu 0.671 0.500 0.343
As 0.500 0.000 0.000